First-principles (PBE) data for a geometry-optimized LiMgBiRh structure, as listed in Alexandria via LeMat-Bulk.

POSCAR file:
```
LiMgBiRh
1.0
0.000 3.301 3.301
3.301 0.000 3.301
3.301 3.301 0.000
Li Mg Bi Rh
1 1 1 1
direct
0.000 0.000 0.000
0.750 0.750 0.750
0.250 0.250 0.250
0.500 0.500 0.500
```

Results
DFT total energy, eV per atom: -4.07
Space-group type: No. 216
Energy relative to the elements, kJ/mol of formula units: -148